Compound: Rb2NaLiCl4
Source: the Alexandria database
Functional: PBE
Structure: relaxed

Values from the calculation:
formation energy without anion corrections	-1389	kJ/mol of formula units

a b c (Å): 8.5840 8.5840 8.6094
angles (deg): 119.99 119.99 89.66
Last column: nearest neighbours and their distance in Å.
Positions (direct):
Rb 0.0000 0.0000 0.0000  6 Cl 3.27-3.30
Rb 0.0000 0.0000 0.5000  6 Cl 3.27-3.30
Rb 0.0000 0.5000 0.0000  6 Cl 3.19-3.22
Rb 0.5000 0.0000 0.5000  6 Cl 3.19-3.22
Na 0.0000 0.5000 0.5000  6 Cl 2.89-2.92
Na 0.5000 0.0000 0.0000  6 Cl 2.89-2.92
Li 0.5000 0.5000 0.0000  6 Cl 2.77-2.86
Li 0.5000 0.5000 0.5000  6 Cl 2.77-2.86
Cl 0.2722 0.2971 0.5331  2 Li 2.83-2.86, 1 Na 2.89
Cl 0.2721 0.7277 0.5250  1 Li 2.77, 2 Na 2.91-2.92
Cl 0.2723 0.7279 0.9750  1 Li 2.77, 2 Na 2.91-2.92
Cl 0.2971 0.2722 0.0331  2 Li 2.83-2.86, 1 Na 2.89
Cl 0.7029 0.7278 0.9669  2 Li 2.83-2.86, 1 Na 2.89
Cl 0.7277 0.2721 0.0250  1 Li 2.77, 2 Na 2.91-2.92
Cl 0.7279 0.2723 0.4750  1 Li 2.77, 2 Na 2.91-2.92
Cl 0.7278 0.7029 0.4669  2 Li 2.83-2.86, 1 Na 2.89